The following is a DFT calculation (GGA-PBE) of an optimized crystal structure of HgSeBr4.

Output
Its total moment is 0.000 μB/atom. For the electronic total energy, the calculation gives -23.0 eV/cell. As for the space group: I4_1md (109). The value obtained for the raw formation energy is -0.1698 eV/atom. As for the energy above the most stable polymorph in this dataset: 0.000 eV per formula unit.

Cell lengths 8.906, 9.410, 9.410 Å; angles 77.06, 61.76, 61.76 degrees
Element x y z (fractional)
Br (0.878, 0.155, 0.155)
Br (0.323, 0.292, 0.708)
Br (0.783, 0.345, 0.655)
Br (0.189, 0.845, 0.845)
Br (0.323, 0.708, 0.292)
Br (0.783, 0.655, 0.345)
Br (0.781, 0.792, 0.792)
Br (0.365, 0.208, 0.208)
Se (0.196, 0.000, 0.000)
Se (0.946, 0.500, 0.500)
Hg (0.591, 0.000, 0.000)
Hg (0.341, 0.500, 0.500)

=====

The following is a DFT calculation (GGA-PBE) of an optimized crystal structure of AcPrZnPt.

Output
Its total moment is 0.000 μB/atom. For the electronic total energy, the calculation gives -18.9 eV/cell. As for the space group: Amm2 (38). The density of states at the Fermi level comes out at 3.2 states/eV/f.u. As for the energy above the most stable polymorph in this dataset: 0.000 eV per formula unit. The formation energy is -0.6776 eV/atom.

Cell lengths 4.276, 4.585, 5.975 Å; angles 90.00, 110.97, 90.00 degrees
Element x y z (fractional)
Pr (0.862, 0.500, 0.724)
Zn (0.567, 0.500, 0.134)
Pt (0.428, 0.000, 0.856)
Ac (0.143, 0.000, 0.286)

=====

The following is a DFT calculation (GGA-PBE) of an optimized crystal structure of MgInAu3.

Output
Its total moment is 0.000 μB/atom. For the electronic total energy, the calculation gives -15.8 eV/cell. As for the space group: P1 (1). The density of states at the Fermi level comes out at 1.0 states/eV/f.u. As for the energy above the most stable polymorph in this dataset: 0.000 eV per formula unit. The formation energy is -0.3263 eV/atom.

Cell lengths 4.079, 5.163, 5.276 Å; angles 81.43, 67.53, 66.69 degrees
Element x y z (fractional)
Au (0.420, 0.344, 0.834)
Au (0.215, 0.153, 0.430)
Au (0.622, 0.589, 0.188)
Mg (0.995, 0.996, 0.032)
In (0.838, 0.738, 0.605)

=====

The following is a DFT calculation (GGA-PBE) of an optimized crystal structure of Pr12ZnPb3.

Output
Its total moment is 0.000 μB/atom. For the electronic total energy, the calculation gives -74.0 eV/cell. As for the space group: P4/mmm (123). The density of states at the Fermi level comes out at 20.8 states/eV/f.u. The formation energy is -0.2679 eV/atom.

Cell lengths 5.027, 5.027, 19.893 Å; angles 90.00, 90.00, 90.00 degrees
Element x y z (fractional)
Pb (0.000, 0.000, 0.500)
Pb (0.000, 0.000, 0.246)
Pb (0.000, 0.000, 0.754)
Pr (0.500, 0.500, 0.500)
Pr (0.000, 0.500, 0.880)
Pr (0.000, 0.500, 0.120)
Pr (0.500, 0.500, 0.000)
Pr (0.500, 0.000, 0.374)
Pr (0.500, 0.000, 0.120)
Pr (0.000, 0.500, 0.374)
Pr (0.500, 0.500, 0.246)
Pr (0.500, 0.500, 0.754)
Pr (0.500, 0.000, 0.880)
Pr (0.500, 0.000, 0.626)
Pr (0.000, 0.500, 0.626)
Zn (0.000, 0.000, 0.000)

=====

The following is a DFT calculation (GGA-PBE) of an optimized crystal structure of K2MnSi.

Output
Its total moment is 0.896 μB/atom. For the electronic total energy, the calculation gives -15.6 eV/cell. As for the space group: P4mm (99). The density of states at the Fermi level comes out at 1.6 states/eV/f.u. The value obtained for the raw formation energy is 0.2982 eV/atom. As for the energy above the most stable polymorph in this dataset: 0.144 eV per formula unit.

Cell lengths 3.492, 3.494, 10.237 Å; angles 90.00, 90.00, 90.00 degrees
Element x y z (fractional)
K (0.000, 0.000, 0.919)
K (0.500, 0.500, 0.323)
Si (0.500, 0.500, 0.652)
Mn (0.000, 0.000, 0.606)

=====

The following is a DFT calculation (GGA-PBE) of an optimized crystal structure of LiReOs.

Output
Its total moment is 0.000 μB/atom. For the electronic total energy, the calculation gives -48.4 eV/cell. As for the space group: Amm2 (38). The density of states at the Fermi level comes out at 1.9 states/eV/f.u. As for the energy above the most stable polymorph in this dataset: 0.899 eV per formula unit. The formation energy is 0.4687 eV/atom.

Cell lengths 4.635, 2.690, 14.188 Å; angles 90.00, 90.00, 149.50 degrees
Element x y z (fractional)
Li (0.621, 0.243, 0.159)
Li (0.621, 0.243, 0.841)
Os (0.028, 0.055, 0.500)
Os (0.119, 0.239, 0.000)
Re (0.138, 0.277, 0.671)
Re (0.138, 0.277, 0.329)

=====

The following is a DFT calculation (GGA-PBE) of an optimized crystal structure of Nd6SiPb2.

Output
Its total moment is 0.610 μB/atom. For the electronic total energy, the calculation gives -45.7 eV/cell. As for the space group: P-62m (189). The density of states at the Fermi level comes out at 8.2 states/eV/f.u. The value obtained for the raw formation energy is -0.4722 eV/atom.

Cell lengths 4.426, 8.601, 8.602 Å; angles 120.00, 90.00, 90.00 degrees
Element x y z (fractional)
Nd (0.000, 0.000, 0.246)
Nd (0.500, 0.602, 0.000)
Nd (0.500, 0.000, 0.602)
Nd (0.000, 0.754, 0.754)
Nd (0.000, 0.246, 0.000)
Nd (0.500, 0.398, 0.398)
Si (0.500, 0.000, 0.000)
Pb (0.000, 0.333, 0.667)
Pb (0.000, 0.667, 0.333)

=====

The following is a DFT calculation (GGA-PBE) of an optimized crystal structure of RbInIBr2.

Output
Its total moment is 0.000 μB/atom. For the electronic total energy, the calculation gives -13.8 eV/cell. As for the space group: P4/mmm (123). The density of states at the Fermi level comes out at 1.6 states/eV/f.u. The value obtained for the raw formation energy is -1.0465 eV/atom.

Cell lengths 5.752, 5.752, 6.106 Å; angles 90.00, 90.00, 90.00 degrees
Element x y z (fractional)
Rb (0.500, 0.500, 0.500)
I (0.000, 0.000, 0.500)
In (0.000, 0.000, 0.000)
Br (0.500, 0.000, 0.000)
Br (0.000, 0.500, 0.000)

=====

What is the total moment in the fifth record?
0.896 μB/atom

=====

Which of these has the lowest electronic total energy?
Pr12ZnPb3

=====

electronic total energy of number 4 (Pr12ZnPb3)?
-74.0 eV/cell

=====

Look up the total moment of the first one.
0.000 μB/atom